The following is a DFT calculation (PBE) of crystalline KPIr at its relaxed geometry.

a = 6.3230 Å, b = 6.3230 Å, c = 6.3230 Å
α = 90.00°, β = 90.00°, γ = 90.00°
Space group F-43m (No. 216)
Symmetry-distinct sites (fractional):
K: 0.0000 0.0000 0.0000
P: 0.2500 0.2500 0.7500
Ir: 0.0000 0.0000 0.5000

Energy relative to the elements: 0.83 eV/atom
Magnetic moment: 0.00 μB per cell
DFT total energy: -12.88 eV/f.u.



The following is a DFT calculation (PBE) of crystalline Ba2TlRuO6 at its relaxed geometry.

a = 5.9611 Å, b = 5.9611 Å, c = 31.4140 Å
α = 90.00°, β = 90.00°, γ = 120.00°
Space group R-3m (No. 166, hexagonal axes)
Symmetry-distinct sites (fractional):
Ba: 0.0000 0.0000 0.1342
Ba: 0.0000 0.0000 0.2930
Tl: 0.0000 0.0000 0.4089
Ru: 0.0000 0.0000 0.0000
Ru: 0.0000 0.0000 0.5000
O: 0.0186 0.5093 0.7023
O: 0.0217 0.5108 0.1290

Uncorrected formation energy: -1576.6 meV per atom
Magnetic moment: 17.30 μB per cell
DFT total energy: -61.00 eV/f.u.



Copy entry 1 word for word.
The following is a DFT calculation (PBE) of crystalline KPIr at its relaxed geometry.

a = 6.3230 Å, b = 6.3230 Å, c = 6.3230 Å
α = 90.00°, β = 90.00°, γ = 90.00°
Space group F-43m (No. 216)
Symmetry-distinct sites (fractional):
K: 0.0000 0.0000 0.0000
P: 0.2500 0.2500 0.7500
Ir: 0.0000 0.0000 0.5000

Energy relative to the elements: 0.83 eV/atom
Magnetic moment: 0.00 μB per cell
DFT total energy: -12.88 eV/f.u.



> What is the magnetic moment in the first record?

0.00 μB per cell



Copy entry 2 word for word.
The following is a DFT calculation (PBE) of crystalline Ba2TlRuO6 at its relaxed geometry.

a = 5.9611 Å, b = 5.9611 Å, c = 31.4140 Å
α = 90.00°, β = 90.00°, γ = 120.00°
Space group R-3m (No. 166, hexagonal axes)
Symmetry-distinct sites (fractional):
Ba: 0.0000 0.0000 0.1342
Ba: 0.0000 0.0000 0.2930
Tl: 0.0000 0.0000 0.4089
Ru: 0.0000 0.0000 0.0000
Ru: 0.0000 0.0000 0.5000
O: 0.0186 0.5093 0.7023
O: 0.0217 0.5108 0.1290

Uncorrected formation energy: -1576.6 meV per atom
Magnetic moment: 17.30 μB per cell
DFT total energy: -61.00 eV/f.u.